A geometry-optimized HoPtSe2 structure. Source: the Alexandria database, functional PBE.

D(E_F) ... 0.803 states/eV/atom
Crystal system ... trigonal
Symmetry ... R-3m (166)
ΔE_f (raw) ... -0.362 eV per atom
Uncorrected energy ... -4.76 eV per atom
Total magnetic moment ... 0.00 μB per atom

Cell lengths 8.5957, 8.5957, 8.5957 Å; angles 25.42, 25.42, 25.42 degrees
With the nearest neighbours (Å) after each atom.
Sites, in units of the cell vectors:
Ho  0.0000  0.0000  0.0000  2 Se 2.82
Pt  0.5000  0.5000  0.5000  6 Se 2.56
Se  0.1131  0.1131  0.1131  3 Pt 2.56, 1 Ho 2.82
Se  0.8869  0.8869  0.8869  3 Pt 2.56, 1 Ho 2.82

=====

A geometry-optimized La3TlPd structure. Source: the Alexandria database, functional PBE.

D(E_F) ... 2.014 states/eV/atom
Crystal system ... cubic
Symmetry ... Pm-3m (221)
Uncorrected energy ... -4.72 eV per atom
Offset from the most stable computed form ... 171 meV per atom
Total magnetic moment ... 0.00 μB per atom
Energy relative to the elements ... -0.249 eV/atom

Cell lengths 5.6508, 5.6508, 5.6508 Å; angles 90.00, 90.00, 90.00 degrees
With the nearest neighbours (Å) after each atom.
Sites, in units of the cell vectors:
La  0.0000  0.0000  0.5000  2 Pd 2.83
La  0.0000  0.5000  0.0000  2 Pd 2.83
La  0.5000  0.0000  0.0000  2 Pd 2.83
Tl  0.5000  0.5000  0.5000  12 La 4.00
Pd  0.0000  0.0000  0.0000  6 La 2.83

=====

A geometry-optimized AcPaMnSe6 structure. Source: the Alexandria database, functional PBE.

D(E_F) ... 0.695 states/eV/atom
Crystal system ... trigonal
Symmetry ... P312 (149)
ΔE_f (raw) ... -0.963 eV per atom
Uncorrected energy ... -5.82 eV per atom
Total magnetic moment ... 0.35 μB per atom

Cell lengths 6.9483, 6.9483, 6.2328 Å; angles 90.00, 90.00, 120.00 degrees
With the nearest neighbours (Å) after each atom.
Sites, in units of the cell vectors:
Ac  0.0000  0.0000  0.0000  6 Se 3.06
Pa  0.6667  0.3333  0.5000  6 Se 2.78
Mn  0.3333  0.6667  0.0000  6 Se 2.56
Se  0.0202  0.3911  0.2450  1 Mn 2.56, 1 Pa 2.78
Se  0.0202  0.6291  0.7550  1 Mn 2.56, 1 Pa 2.78
Se  0.3709  0.3911  0.7550  1 Mn 2.56, 1 Pa 2.78
Se  0.3709  0.9798  0.2450  1 Mn 2.56, 1 Pa 2.78
Se  0.6089  0.6291  0.2450  1 Mn 2.56, 1 Pa 2.78
Se  0.6089  0.9798  0.7550  1 Mn 2.56, 1 Pa 2.78

=====

A geometry-optimized TaGa structure. Source: the Alexandria database, functional PBE.

D(E_F) ... 0.625 states/eV/atom
Crystal system ... hexagonal
Symmetry ... P6_3/m (176)
Uncorrected energy ... -7.16 eV per atom
Total magnetic moment ... 0.00 μB per atom
Energy relative to the elements ... 0.275 eV/atom

Cell lengths 7.3171, 7.3171, 4.8249 Å; angles 90.00, 90.00, 120.00 degrees
With the nearest neighbours (Å) after each atom.
Sites, in units of the cell vectors:
Ta  0.0826  0.4638  0.2500  5 Ga 2.68-2.84, 4 Ta 2.86-2.92
Ta  0.3812  0.9174  0.2500  5 Ga 2.68-2.84, 4 Ta 2.86-2.92
Ta  0.4638  0.3812  0.7500  5 Ga 2.68-2.84, 4 Ta 2.86-2.92
Ta  0.5362  0.6188  0.2500  5 Ga 2.68-2.84, 4 Ta 2.86-2.92
Ta  0.6188  0.0826  0.7500  5 Ga 2.68-2.84, 4 Ta 2.86-2.92
Ta  0.9174  0.5362  0.7500  5 Ga 2.68-2.84, 4 Ta 2.86-2.92
Ga  0.0488  0.2446  0.7500  5 Ta 2.68-2.84, 6 Ga 2.84-2.92
Ga  0.1958  0.9512  0.7500  5 Ta 2.68-2.84, 6 Ga 2.84-2.92
Ga  0.2446  0.1958  0.2500  5 Ta 2.68-2.84, 6 Ga 2.84-2.92
Ga  0.7554  0.8042  0.7500  5 Ta 2.68-2.84, 6 Ga 2.84-2.92
Ga  0.8042  0.0488  0.2500  5 Ta 2.68-2.84, 6 Ga 2.84-2.92
Ga  0.9512  0.7554  0.2500  5 Ta 2.68-2.84, 6 Ga 2.84-2.92

=====

A geometry-optimized Sb2OsRu structure. Source: the Alexandria database, functional PBE.

D(E_F) ... 0.722 states/eV/atom
Crystal system ... tetragonal
Symmetry ... P4mm (99)
ΔE_f (raw) ... 0.254 eV per atom
Uncorrected energy ... -6.93 eV per atom
Offset from the most stable computed form ... 0 meV per atom
Total magnetic moment ... 0.00 μB per atom

Cell lengths 3.0662, 3.0662, 8.8414 Å; angles 90.00, 90.00, 90.00 degrees
With the nearest neighbours (Å) after each atom.
Sites, in units of the cell vectors:
Sb  0.0000  0.0000  0.0000  4 Ru 2.77, 4 Sb 3.07
Sb  0.5000  0.5000  0.4099  4 Os 2.78, 4 Sb 3.07
Os  0.0000  0.0000  0.6058  4 Sb 2.78, 4 Ru 2.79, 4 Os 3.07
Ru  0.5000  0.5000  0.8043  4 Sb 2.77, 4 Os 2.79, 4 Ru 3.07

=====

A geometry-optimized SmRe4N8 structure. Source: the Alexandria database, functional PBE.

D(E_F) ... 0.608 states/eV/atom
Crystal system ... trigonal
Symmetry ... R-3m (166)
ΔE_f (raw) ... 0.188 eV per atom
Uncorrected energy ... -9.13 eV per atom
Total magnetic moment ... 0.16 μB per atom

Cell lengths 5.9906, 5.9906, 5.9906 Å; angles 64.25, 64.25, 64.25 degrees
With the nearest neighbours (Å) after each atom.
Sites, in units of the cell vectors:
Sm  0.0000  0.0000  0.0000  6 N 2.35
Re  0.0000  0.5000  0.5000  6 N 2.06-2.09
Re  0.5000  0.0000  0.5000  6 N 2.06-2.09
Re  0.5000  0.5000  0.0000  6 N 2.06-2.09
Re  0.5000  0.5000  0.5000  6 N 2.03
N  0.2672  0.2672  0.2672  3 Re 2.06
N  0.2670  0.2670  0.7107  3 Re 2.03-2.09
N  0.2670  0.7107  0.2670  3 Re 2.03-2.09
N  0.2893  0.7330  0.7330  3 Re 2.03-2.09
N  0.7107  0.2670  0.2670  3 Re 2.03-2.09
N  0.7330  0.2893  0.7330  3 Re 2.03-2.09
N  0.7330  0.7330  0.2893  3 Re 2.03-2.09
N  0.7328  0.7328  0.7328  3 Re 2.06

=====

A geometry-optimized PuTl6O12 structure. Source: the Alexandria database, functional PBE.

D(E_F) ... 0.090 states/eV/atom
Crystal system ... trigonal
Symmetry ... R-3 (148)
ΔE_f (raw) ... -1.048 eV per atom
Uncorrected energy ... -5.68 eV per atom
Total magnetic moment ... 0.05 μB per atom

Cell lengths 6.6658, 6.6658, 6.6658 Å; angles 98.39, 98.39, 98.39 degrees
With the nearest neighbours (Å) after each atom.
Sites, in units of the cell vectors:
Pu  0.0000  0.0000  0.0000  6 O 2.03
Tl  0.1396  0.6041  0.3208  5 O 2.19-2.42
Tl  0.3208  0.1396  0.6041  5 O 2.19-2.42
Tl  0.3959  0.6792  0.8604  5 O 2.19-2.42
Tl  0.6041  0.3208  0.1396  5 O 2.19-2.42
Tl  0.6792  0.8604  0.3959  5 O 2.19-2.42
Tl  0.8604  0.3959  0.6792  5 O 2.19-2.42
O  0.0376  0.7075  0.9010  1 Pu 2.03
O  0.0990  0.9624  0.2925  1 Pu 2.03
O  0.1748  0.4139  0.6018  4 Tl 2.19-2.42
O  0.2925  0.0990  0.9624  1 Pu 2.03
O  0.3982  0.8252  0.5861  4 Tl 2.19-2.42
O  0.4139  0.6018  0.1748  4 Tl 2.19-2.42
O  0.5861  0.3982  0.8252  4 Tl 2.19-2.42
O  0.6018  0.1748  0.4139  4 Tl 2.19-2.42
O  0.7075  0.9010  0.0376  1 Pu 2.03
O  0.8252  0.5861  0.3982  4 Tl 2.19-2.42
O  0.9010  0.0376  0.7075  1 Pu 2.03
O  0.9624  0.2925  0.0990  1 Pu 2.03

=====

A geometry-optimized CoHRh structure. Source: the Alexandria database, functional PBE.

D(E_F) ... 0.603 states/eV/atom
Crystal system ... trigonal
Symmetry ... P3m1 (156)
Uncorrected energy ... -5.90 eV per atom
Total magnetic moment ... 0.79 μB per atom

Cell lengths 2.7318, 2.7318, 4.2928 Å; angles 90.00, 90.00, 120.00 degrees
With the nearest neighbours (Å) after each atom.
Sites, in units of the cell vectors:
Co  0.0000  0.0000  0.0000  3 H 1.86
H  0.6667  0.3333  0.2307  3 Co 1.86, 3 Rh 2.00
Rh  0.3333  0.6667  0.5160  3 H 2.00

=====

A geometry-optimized Ho2ErTc structure. Source: the Alexandria database, functional PBE.

D(E_F) ... 0.824 states/eV/atom
Crystal system ... orthorhombic
Symmetry ... Pnma (62)
Uncorrected energy ... -6.14 eV per atom
Offset from the most stable computed form ... 0 meV per atom
Total magnetic moment ... 0.00 μB per atom
Energy relative to the elements ... -0.123 eV/atom

Cell lengths 7.4101, 9.1022, 6.1959 Å; angles 90.00, 90.00, 90.00 degrees
With the nearest neighbours (Å) after each atom.
Sites, in units of the cell vectors:
Ho  0.1765  0.0631  0.1574  3 Tc 2.84-3.14
Ho  0.1765  0.4369  0.1574  3 Tc 2.84-3.14
Ho  0.3235  0.5631  0.6574  3 Tc 2.84-3.14
Ho  0.3235  0.9369  0.6574  3 Tc 2.84-3.14
Ho  0.6765  0.0631  0.3426  3 Tc 2.84-3.14
Ho  0.6765  0.4369  0.3426  3 Tc 2.84-3.14
Ho  0.8235  0.5631  0.8426  3 Tc 2.84-3.14
Ho  0.8235  0.9369  0.8426  3 Tc 2.84-3.14
Er  0.0418  0.2500  0.6282  2 Tc 2.75-2.82
Er  0.4582  0.7500  0.1282  2 Tc 2.75-2.82
Er  0.5418  0.2500  0.8718  2 Tc 2.75-2.82
Er  0.9582  0.7500  0.3718  2 Tc 2.75-2.82
Tc  0.1149  0.7500  0.9577  2 Er 2.75-2.82, 4 Ho 2.84-2.96
Tc  0.3851  0.2500  0.4577  2 Er 2.75-2.82, 4 Ho 2.84-2.96
Tc  0.6149  0.7500  0.5423  2 Er 2.75-2.82, 4 Ho 2.84-2.96
Tc  0.8851  0.2500  0.0423  2 Er 2.75-2.82, 4 Ho 2.84-2.96

=====

A geometry-optimized K2TeI5 structure. Source: the Alexandria database, functional PBE.

D(E_F) ... 0.090 states/eV/atom
Crystal system ... tetragonal
Symmetry ... I4mm (107)
ΔE_f (raw) ... -0.698 eV per atom
Uncorrected energy ... -2.33 eV per atom
Offset from the most stable computed form ... 74 meV per atom
Total magnetic moment ... 0.13 μB per atom

Cell lengths 8.0585, 8.0585, 8.0585 Å; angles 113.76, 113.76, 101.19 degrees
With the nearest neighbours (Å) after each atom.
Sites, in units of the cell vectors:
K  0.0000  0.5000  0.5000  8 I 3.87-4.21
K  0.5000  0.0000  0.5000  8 I 3.87-4.21
Te  0.2306  0.2306  0.0000  5 I 2.97-3.15
I  0.4627  0.4627  0.4775  1 Te 2.97
I  0.4627  0.9852  0.0000  1 Te 2.97
I  0.5388  0.5388  0.0000  1 Te 3.15
I  0.9852  0.4627  0.0000  1 Te 2.97
I  0.9852  0.9852  0.5225  1 Te 2.97

=====

A geometry-optimized K4NaOs3O12 structure. Source: the Alexandria database, functional PBE.

D(E_F) ... 0.607 states/eV/atom
Crystal system ... cubic
Symmetry ... Im-3m (229)
ΔE_f (raw) ... -1.272 eV per atom
Uncorrected energy ... -6.22 eV per atom
Total magnetic moment ... 0.06 μB per atom

Cell lengths 6.9763, 6.9763, 6.9763 Å; angles 109.47, 109.47, 109.47 degrees
With the nearest neighbours (Å) after each atom.
Sites, in units of the cell vectors:
K  0.0000  0.0000  0.5000  12 O 2.85-2.86
K  0.0000  0.5000  0.0000  12 O 2.85-2.86
K  0.5000  0.0000  0.0000  12 O 2.85-2.86
K  0.5000  0.5000  0.5000  12 O 2.85-2.86
Na  0.0000  0.0000  0.0000  6 O 2.21
Os  0.0000  0.5000  0.5000  6 O 1.81-2.01
Os  0.5000  0.0000  0.5000  6 O 1.81-2.01
Os  0.5000  0.5000  0.0000  6 O 1.81-2.01
O  0.0000  0.2749  0.2749  1 Os 1.81
O  0.0000  0.7251  0.7251  1 Os 1.81
O  0.2500  0.5000  0.7500  2 Os 2.01
O  0.2500  0.7500  0.5000  2 Os 2.01
O  0.2749  0.0000  0.2749  1 Os 1.81
O  0.2749  0.2749  0.0000  1 Os 1.81
O  0.5000  0.2500  0.7500  2 Os 2.01
O  0.5000  0.7500  0.2500  2 Os 2.01
O  0.7251  0.0000  0.7251  1 Os 1.81
O  0.7251  0.7251  0.0000  1 Os 1.81
O  0.7500  0.2500  0.5000  2 Os 2.01
O  0.7500  0.5000  0.2500  2 Os 2.01

=====

A geometry-optimized Li2NbPd6 structure. Source: the Alexandria database, functional PBE.

D(E_F) ... 0.383 states/eV/atom
Crystal system ... monoclinic
Symmetry ... C2/m (12)
Uncorrected energy ... -5.24 eV per atom
Offset from the most stable computed form ... 131 meV per atom
Total magnetic moment ... 0.00 μB per atom
Energy relative to the elements ... -0.237 eV/atom

Cell lengths 7.2756, 7.2756, 4.0466 Å; angles 106.07, 106.07, 44.03 degrees
With the nearest neighbours (Å) after each atom.
Sites, in units of the cell vectors:
Li  0.1679  0.1679  0.1685  8 Pd 2.57-2.78
Li  0.8321  0.8321  0.8315  8 Pd 2.57-2.78
Nb  0.5000  0.5000  0.0000  10 Pd 2.68-2.78
Pd  0.1484  0.6450  0.3959  2 Li 2.58, 6 Pd 2.66-2.79, 2 Nb 2.77-2.78
Pd  0.2917  0.2917  0.7915  4 Li 2.57-2.78, 1 Nb 2.68, 6 Pd 2.78-2.79
Pd  0.3550  0.8516  0.6041  2 Li 2.58, 6 Pd 2.66-2.79, 2 Nb 2.77-2.78
Pd  0.6450  0.1484  0.3959  2 Li 2.58, 6 Pd 2.66-2.79, 2 Nb 2.77-2.78
Pd  0.7083  0.7083  0.2085  4 Li 2.57-2.78, 1 Nb 2.68, 6 Pd 2.78-2.79
Pd  0.8516  0.3550  0.6041  2 Li 2.58, 6 Pd 2.66-2.79, 2 Nb 2.77-2.78